Below is a crystal of TcMoCl relaxed with PBEsol, with properties calculated at the SCAN level.

Computed properties:
SG = No. 156

a b c (Å): 2.8895 2.8895 6.1688
angles (deg): 90.00 90.00 120.00
Sites, in units of the cell vectors:
1 Tc 0.0000 0.0000 0.0000
2 Mo 0.3333 0.6667 0.3209
3 Cl 0.6667 0.3333 0.6417



Below is a crystal of Tc2MoCl relaxed with PBEsol, with properties calculated at the SCAN level.

Computed properties:
SG = No. 166
polymorph energy (0 for the lowest one) = 0 kJ/mol of formula units

a b c (Å): 8.4763 8.4763 8.4763
angles (deg): 19.26 19.26 19.26
Sites, in units of the cell vectors:
1 Tc 0.2484 0.2484 0.2484
2 Tc 0.7516 0.7516 0.7516
3 Mo 0.0000 0.0000 0.0000
4 Cl 0.5000 0.5000 0.5000



Below is a crystal of TcMoCl2 relaxed with PBEsol, with properties calculated at the SCAN level.

Computed properties:
SG = No. 119

a b c (Å): 4.7226 4.7226 4.7226
angles (deg): 130.25 130.25 73.01
Sites, in units of the cell vectors:
1 Tc 0.0000 0.0000 0.0000
2 Mo 0.2500 0.7500 0.5000
3 Cl 0.5000 0.5000 0.0000
4 Cl 0.7500 0.2500 0.5000



Below is a crystal of TcMoCl4 relaxed with PBEsol, with properties calculated at the SCAN level.

Computed properties:
SG = No. 216

a b c (Å): 5.6707 5.6707 5.6707
angles (deg): 60.00 60.00 60.00
Sites, in units of the cell vectors:
1 Tc 0.0000 0.0000 0.0000
2 Mo 0.7500 0.7500 0.7500
3 Cl 0.3748 0.3748 0.3748
4 Cl 0.3748 0.3748 0.8757
5 Cl 0.3748 0.8757 0.3748
6 Cl 0.8757 0.3748 0.3748



Below is a crystal of TeMoCl relaxed with PBEsol, with properties calculated at the SCAN level.

Computed properties:
SG = No. 156

a b c (Å): 3.2979 3.2979 7.2053
angles (deg): 90.00 90.00 120.00
Sites, in units of the cell vectors:
1 Te 0.0000 0.0000 0.0000
2 Mo 0.6667 0.3333 0.2613
3 Cl 0.3333 0.6667 0.4968



Below is a crystal of Ti3MoCl relaxed with PBEsol, with properties calculated at the SCAN level.

Computed properties:
SG = No. 221

a b c (Å): 4.3539 4.3539 4.3539
angles (deg): 90.00 90.00 90.00
Sites, in units of the cell vectors:
1 Ti 0.0000 0.0000 0.5000
2 Ti 0.0000 0.5000 0.0000
3 Ti 0.5000 0.0000 0.0000
4 Mo 0.5000 0.5000 0.5000
5 Cl 0.0000 0.0000 0.0000



Below is a crystal of Tl2MoCl relaxed with PBEsol, with properties calculated at the SCAN level.

Computed properties:
SG = No. 166
polymorph energy (0 for the lowest one) = 17 kJ/mol of formula units

a b c (Å): 9.0644 9.0644 9.0644
angles (deg): 21.07 21.07 21.07
Sites, in units of the cell vectors:
1 Tl 0.2468 0.2468 0.2468
2 Tl 0.7532 0.7532 0.7532
3 Mo 0.5000 0.5000 0.5000
4 Cl 0.0000 0.0000 0.0000



Below is a crystal of Tl2MoCl relaxed with PBEsol, with properties calculated at the SCAN level.

Computed properties:
SG = No. 10
polymorph energy (0 for the lowest one) = 0 kJ/mol of formula units

a b c (Å): 5.1574 2.9847 5.8009
angles (deg): 90.00 90.41 90.00
Sites, in units of the cell vectors:
1 Tl 0.0000 0.0000 0.0000
2 Tl 0.5000 0.5000 0.5000
3 Mo 0.0000 0.0000 0.5000
4 Cl 0.5000 0.5000 0.0000



Below is a crystal of TlMo2Cl relaxed with PBEsol, with properties calculated at the SCAN level.

Computed properties:
SG = No. 47
polymorph energy (0 for the lowest one) = 279 kJ/mol of formula units

a b c (Å): 2.8838 4.8346 5.0497
angles (deg): 90.00 90.00 90.00
Sites, in units of the cell vectors:
1 Tl 0.0000 0.0000 0.0000
2 Mo 0.0000 0.5000 0.5000
3 Mo 0.5000 0.5000 0.0000
4 Cl 0.5000 0.0000 0.5000



Below is a crystal of TlMo2Cl relaxed with PBEsol, with properties calculated at the SCAN level.

Computed properties:
SG = No. 8
polymorph energy (0 for the lowest one) = 99 kJ/mol of formula units

a b c (Å): 6.2983 6.2983 4.9208
angles (deg): 101.71 101.71 28.89
Sites, in units of the cell vectors:
1 Tl 0.0000 0.0000 0.0000
2 Mo 0.1237 0.1237 0.5751
3 Mo 0.4765 0.4765 0.4775
4 Cl 0.7707 0.7707 0.4240



Below is a crystal of TlMo2Cl relaxed with PBEsol, with properties calculated at the SCAN level.

Computed properties:
SG = No. 12
polymorph energy (0 for the lowest one) = 110 kJ/mol of formula units

a b c (Å): 5.4043 5.4043 7.2805
angles (deg): 124.57 124.57 33.30
Sites, in units of the cell vectors:
1 Tl 0.0000 0.0000 0.0000
2 Mo 0.2144 0.2144 0.8543
3 Mo 0.7856 0.7856 0.1457
4 Cl 0.5000 0.5000 0.5000



Below is a crystal of TlMoCl2 relaxed with PBEsol, with properties calculated at the SCAN level.

Computed properties:
SG = No. 166

a b c (Å): 10.0533 10.0533 10.0533
angles (deg): 18.06 18.06 18.06
Sites, in units of the cell vectors:
1 Tl 0.0000 0.0000 0.0000
2 Mo 0.5000 0.5000 0.5000
3 Cl 0.2226 0.2226 0.2226
4 Cl 0.7774 0.7774 0.7774



Energy relative to the elements, uncorrected across the listed records, respectively: 226.9, 328.1, 934.2, 1309.2, -264.7, 192.3, 397.6, 354.8, 824.7, 356.8, 385.3, -318.1 meV per atom.
Uncorrected energy across the listed records, respectively: -1.89240, -2.05191, -1.50974, -1.15150, -1.98221, -1.32285, -3.41749, -3.42064, -2.69754, -2.73193, -2.72984, -2.28712 Ry/atom.